1.
DFT (PBEsol) results for a relaxed Fe2SiW crystal.

Unit cell a=2.7187 b=2.7187 c=6.1991 alpha=90.00 beta=90.00 gamma=90.00
Sites, in units of the cell vectors:
1 Fe 0.0000 0.0000 0.2166
2 Fe 0.0000 0.0000 0.7834
3 Si 0.5000 0.5000 0.0000
4 W 0.5000 0.5000 0.5000

Output
Space-group type ... No. 123
Raw formation energy ... -31.9 kJ/mol of atoms
DOS(E_F) ... 3.5 states/eV/cell
Magnetic moment ... 0.00 Bohr magnetons per cell

2.
DFT (PBEsol) results for a relaxed AgCl5 crystal.

Unit cell a=4.8155 b=9.3219 c=9.3219 alpha=25.36 beta=90.00 gamma=90.00
Sites, in units of the cell vectors:
1 Ag 0.0000 0.0000 0.0000
2 Cl 0.0000 0.4002 0.4002
3 Cl 0.0000 0.5750 0.5750
4 Cl 0.5000 0.1981 0.1981
5 Cl 0.5000 0.4058 0.4058
6 Cl 0.5000 0.7375 0.7375

Output
Space-group type ... No. 38
Raw formation energy ... 1.4 kJ/mol of atoms
DOS(E_F) ... 3.4 states/eV/cell
Magnetic moment ... 0.00 Bohr magnetons per cell

3.
DFT (PBEsol) results for a relaxed CsNa2Cd2 crystal.

Unit cell a=9.4448 b=9.4448 c=3.7153 alpha=90.00 beta=90.00 gamma=90.00
Sites, in units of the cell vectors:
1 Cs 0.0000 0.0000 0.0000
2 Cs 0.5000 0.5000 0.0000
3 Na 0.1727 0.3273 0.5000
4 Na 0.3273 0.8273 0.5000
5 Na 0.6727 0.1727 0.5000
6 Na 0.8273 0.6727 0.5000
7 Cd 0.1103 0.6103 0.0000
8 Cd 0.3897 0.1103 0.0000
9 Cd 0.6103 0.8897 0.0000
10 Cd 0.8897 0.3897 0.0000

Output
Space-group type ... No. 127
ΔE to the lowest computed polymorph ... 0.005 eV per atom
DOS(E_F) ... 5.7 states/eV/cell
Energy relative to the elements ... 0.03 eV/atom
Magnetic moment ... 0.00 Bohr magnetons per cell